[1]
Below is an optimized crystal structure of Mn2HgPd2, with properties calculated at the PBE level.

Summary:
Distance to the lowest polymorph of the same formula in meV/atom: 0
Formation enthalpy at 0 K in eV/atom: -0.05
Magnetic moment in Bohr magnetons per cell: 17.5
Uncorrected energy in eV per cell: -58.5

Unit cell a=7.5231 b=7.5231 c=2.9974 alpha=90.00 beta=90.00 gamma=90.00
Closest atoms and distances in Å follow each position.
Space group P4/mbm (No. 127)
Asymmetric unit:
Mn1 0.1584 0.3416 0.0000 x4  6 Pd 2.65-2.68
Hg1 0.0000 0.0000 0.5000 x2  4 Pd 2.92, 2 Hg 3.00, 8 Mn 3.20
Pd1 0.1360 0.6360 0.5000 x4  6 Mn 2.65-2.68, 1 Pd 2.89, 2 Hg 2.92

[2]
Below is an optimized crystal structure of KSbTe, with properties calculated at the PBE level.

Summary:
Distance to the lowest polymorph of the same formula in meV/atom: 625
E_form (uncorrected) in eV/atom: 0.167
Magnetic moment in Bohr magnetons per cell: 0.0
Uncorrected energy in eV per cell: -31.4

Unit cell a=7.6444 b=7.6444 c=7.6444 alpha=90.00 beta=90.00 gamma=90.00
Closest atoms and distances in Å follow each position.
Space group F-43m (No. 216)
Asymmetric unit:
K1 0.0000 0.0000 0.0000 x4  4 Sb 3.31, 4 Te 3.31
Sb1 0.2500 0.2500 0.2500 x4  4 K 3.31
Te1 0.2500 0.2500 0.7500 x4  4 K 3.31

[3]
Below is an optimized crystal structure of LaZr2Cl, with properties calculated at the PBE level.

Summary:
Distance to the lowest polymorph of the same formula in meV/atom: 0
E_form (uncorrected) in eV/atom: -0.386
Magnetic moment in Bohr magnetons per cell: 0.0
Uncorrected energy in eV per cell: -50.8

Unit cell a=4.2304 b=5.1005 c=9.2787 alpha=90.00 beta=90.00 gamma=90.00
Closest atoms and distances in Å follow each position.
Space group Cmm2 (No. 35)
Asymmetric unit:
La1 0.0000 0.0000 0.0000 x2  4 Cl 3.28-3.58, 4 La 3.31, 4 Zr 3.34-3.63
Zr1 0.0000 0.0000 0.5077 x2  4 Cl 2.95-3.28, 2 Zr 3.00
Zr2 0.0000 0.5000 0.2783 x2  8 Zr 3.00-3.32, 2 La 3.34
Cl1 0.0000 0.5000 0.7297 x2  4 Zr 2.95-3.28, 2 La 3.28

[4]
Below is an optimized crystal structure of Er8Al2Bi, with properties calculated at the PBE level.

Summary:
Formation enthalpy at 0 K in eV/atom: -0.22
Magnetic moment in Bohr magnetons per cell: 0.0
Uncorrected energy in eV per cell: -100.7

Unit cell a=18.9687 b=4.9289 c=6.9319 alpha=90.00 beta=103.64 gamma=90.00
Closest atoms and distances in Å follow each position.
Space group C2/m (No. 12)
Asymmetric unit:
Er1 0.0307 0.0000 0.2523 x4  1 Al 3.01, 2 Bi 3.14
Er2 0.0968 0.5000 0.9706 x4  2 Al 3.33, 1 Bi 3.34, 8 Er 3.40-3.64
Er3 0.1631 0.5000 0.4706 x4  3 Al 3.03-3.05, 1 Bi 3.15
Er4 0.2127 0.0000 0.8133 x4  3 Al 3.11-3.17, 3 Er 3.40-3.41
Al1 0.1882 0.0000 0.2412 x4  9 Er 3.01-3.33
Bi1 0.0000 0.5000 0.5000 x2  8 Er 3.14-3.34

[5]
Below is an optimized crystal structure of TcTeSe, with properties calculated at the PBE level.

Summary:
Distance to the lowest polymorph of the same formula in meV/atom: 0
E_form (uncorrected) in eV/atom: -0.332
Magnetic moment in Bohr magnetons per cell: 2.5
Uncorrected energy in eV per cell: -72.0

Unit cell a=14.2758 b=3.4415 c=6.2141 alpha=90.00 beta=98.74 gamma=90.00
Closest atoms and distances in Å follow each position.
Space group C2/m (No. 12)
Asymmetric unit:
Tc1 0.2441 0.0000 0.3155 x4  3 Se 2.45-2.50
Te1 0.1446 0.0000 0.8944 x4  3 Tc 2.78-2.80
Se1 0.1247 0.5000 0.3795 x4  3 Tc 2.45-2.50

[6]
Below is an optimized crystal structure of LiErCuNi, with properties calculated at the PBE level.

Summary:
Formation enthalpy at 0 K in eV/atom: -0.12
Magnetic moment in Bohr magnetons per cell: 0.0
Uncorrected energy in eV per cell: -67.3

Unit cell a=6.4252 b=6.4252 c=6.4252 alpha=90.00 beta=90.00 gamma=90.00
Closest atoms and distances in Å follow each position.
Space group F-43m (No. 216)
Asymmetric unit:
Li1 0.0000 0.0000 0.0000 x4  4 Ni 2.78, 4 Cu 2.78
Er1 0.0000 0.0000 0.5000 x4  4 Ni 2.78, 4 Cu 2.78
Cu1 0.2500 0.2500 0.7500 x4  4 Li 2.78, 4 Er 2.78
Ni1 0.2500 0.2500 0.2500 x4  4 Li 2.78, 4 Er 2.78

[7]
Below is an optimized crystal structure of Al2SnB, with properties calculated at the PBE level.

Summary:
Distance to the lowest polymorph of the same formula in meV/atom: 460
Formation enthalpy at 0 K in eV/atom: 0.90
Magnetic moment in Bohr magnetons per cell: 0.0
Uncorrected energy in eV per cell: -58.3

Unit cell a=6.5298 b=6.5298 c=6.5298 alpha=90.00 beta=90.00 gamma=90.00
Closest atoms and distances in Å follow each position.
Space group Fm-3m (No. 225)
Asymmetric unit:
Al1 0.2500 0.2500 0.2500 x8  4 Sn 2.83, 4 B 2.83
Sn1 0.0000 0.0000 0.0000 x4  8 Al 2.83
B1 0.0000 0.0000 0.5000 x4  8 Al 2.83

[8]
Below is an optimized crystal structure of BaZn2Te, with properties calculated at the PBE level.

Summary:
E_form (uncorrected) in eV/atom: -0.470
Magnetic moment in Bohr magnetons per cell: 0.0
Uncorrected energy in eV per cell: -9.5

Unit cell a=4.7980 b=5.2953 c=5.0506 alpha=90.00 beta=90.02 gamma=90.00
Closest atoms and distances in Å follow each position.
Space group P2/m (No. 10)
Asymmetric unit:
Ba1 0.0000 0.0000 0.0000 x1  4 Te 3.48, 4 Zn 3.64
Zn1 0.4536 0.5000 0.2451 x2  2 Zn 2.52-2.61
Te1 0.5000 0.0000 0.5000 x1  4 Zn 2.95

[9]
Below is an optimized crystal structure of TbPm2ErSe4, with properties calculated at the PBE level.

Summary:
E_form (uncorrected) in eV/atom: -1.787
Magnetic moment in Bohr magnetons per cell: 0.0
Uncorrected energy in eV per cell: -46.9

Unit cell a=7.0994 b=4.0691 c=7.2927 alpha=90.00 beta=108.71 gamma=90.00
Closest atoms and distances in Å follow each position.
Space group P2/m (No. 10)
Asymmetric unit:
Tb1 0.0000 0.0000 0.0000 x1  6 Se 2.88-2.89
Pm1 0.0000 0.5000 0.5000 x1  6 Se 2.99
Pm2 0.5000 0.0000 0.5000 x1  6 Se 2.96
Er1 0.5000 0.5000 0.0000 x1  6 Se 2.86
Se1 0.2486 0.5000 0.2383 x2  1 Er 2.86, 2 Tb 2.88, 3 Pm 2.96-2.99
Se2 0.2574 0.0000 0.7636 x2  2 Er 2.86, 1 Tb 2.89, 3 Pm 2.96-2.99

[10]
Below is an optimized crystal structure of RbNa4Ga, with properties calculated at the PBE level.

Summary:
Formation enthalpy at 0 K in eV/atom: 0.15
Magnetic moment in Bohr magnetons per cell: 2.2
Uncorrected energy in eV per cell: -33.5

Unit cell a=9.6141 b=9.6141 c=9.6141 alpha=90.00 beta=90.00 gamma=90.00
Closest atoms and distances in Å follow each position.
Space group F-43m (No. 216)
Asymmetric unit:
Rb1 0.0000 0.0000 0.0000 x4  12 Na 3.99, 4 Ga 4.16
Na1 0.1224 0.1224 0.6224 x16  6 Na 3.33-3.47
Ga1 0.2500 0.2500 0.2500 x4  12 Na 3.98, 4 Rb 4.16

[11]
Below is an optimized crystal structure of PmMgPb, with properties calculated at the PBE level.

Summary:
Distance to the lowest polymorph of the same formula in meV/atom: 117
Formation enthalpy at 0 K in eV/atom: -0.35
Magnetic moment in Bohr magnetons per cell: 0.0
Uncorrected energy in eV per cell: -11.1

Unit cell a=5.0452 b=5.0452 c=3.7129 alpha=90.00 beta=90.00 gamma=120.00
Closest atoms and distances in Å follow each position.
Space group P3m1 (No. 156)
Asymmetric unit:
Pm1 0.0000 0.0000 0.0000 x1  6 Pb 3.45-3.46, 6 Mg 3.45-3.46, 2 Pm 3.71
Mg1 0.6667 0.3333 0.5009 x1  3 Pb 2.91
Pb1 0.3333 0.6667 0.4987 x1  3 Mg 2.91

[12]
Below is an optimized crystal structure of Pr2PdPt, with properties calculated at the PBE level.

Summary:
Formation enthalpy at 0 K in eV/atom: -0.87
Magnetic moment in Bohr magnetons per cell: 0.0
Uncorrected energy in eV per cell: -24.3

Unit cell a=5.1767 b=5.1767 c=3.5971 alpha=90.00 beta=90.00 gamma=90.00
Closest atoms and distances in Å follow each position.
Space group P4/mmm (No. 123)
Asymmetric unit:
Pr1 0.0000 0.5000 0.0000 x2  4 Pd 3.15, 4 Pt 3.15
Pd1 0.0000 0.0000 0.5000 x1  8 Pr 3.15
Pt1 0.5000 0.5000 0.5000 x1  8 Pr 3.15